## Pr2RuF (PBE)

Data for a geometry-optimized Pr2RuF structure.

Cell lengths 4.0334, 4.0334, 20.0318 Å; angles 90.00, 90.00, 120.00 degrees
Closest atoms and distances in Å follow each position.
Space group R-3m (No. 166, hexagonal axes)
One atom of each set of equivalent atoms:
Pr (0.0000, 0.0000, 0.2475) (multiplicity 6)  3 Ru 2.84, 3 F 2.89
Ru (0.0000, 0.0000, 0.5000) (multiplicity 3)  6 Pr 2.84
F (0.0000, 0.0000, 0.0000) (multiplicity 3)  6 Pr 2.89

Results
Formation energy without anion corrections: -1.21 eV per atom
Volume: 23.518 Å³ per atom
ΔE to the lowest computed polymorph: 0.0 kJ per mole of atoms

***

## Pr2RuF (PBE)

Data for a geometry-optimized Pr2RuF structure.

Cell lengths 3.3741, 3.3741, 7.5205 Å; angles 90.00, 90.00, 90.00 degrees
Closest atoms and distances in Å follow each position.
Space group P4/mmm (No. 123)
One atom of each set of equivalent atoms:
Pr (0.0000, 0.0000, 0.2385) (multiplicity 2)  4 Ru 2.98, 4 F 3.09
Ru (0.5000, 0.5000, 0.0000) (multiplicity 1)  8 Pr 2.98
F (0.5000, 0.5000, 0.5000) (multiplicity 1)  8 Pr 3.09, 4 F 3.37

Results
Formation energy without anion corrections: -1.16 eV per atom
Volume: 21.404 Å³ per atom
ΔE to the lowest computed polymorph: 5.1 kJ per mole of atoms

***

## Pr2SF3 (PBE)

Data for a geometry-optimized Pr2SF3 structure.

Cell lengths 15.3947, 4.1939, 8.1589 Å; angles 90.00, 121.57, 90.00 degrees
Closest atoms and distances in Å follow each position.
Space group C2/m (No. 12)
One atom of each set of equivalent atoms:
Pr (0.0077, 0.0000, 0.2730) (multiplicity 4)  4 F 2.32-2.44
Pr (0.2219, 0.5000, 0.1975) (multiplicity 4)  4 F 2.33-2.53
S (0.1407, 0.5000, 0.7744) (multiplicity 4)  5 Pr 2.90-2.99, 1 F 3.24
F (0.0679, 0.5000, 0.2201) (multiplicity 4)  3 Pr 2.42-2.47, 2 F 2.70
F (0.1146, 0.0000, 0.0725) (multiplicity 4)  3 Pr 2.44-2.53, 2 F 2.70
F (0.1839, 0.0000, 0.4666) (multiplicity 4)  2 Pr 2.32-2.33

Results
Formation energy without anion corrections: -3.19 eV per atom
Volume: 18.701 Å³ per atom

***

## Pr2S2F (PBE)

Data for a geometry-optimized Pr2S2F structure.

Cell lengths 3.7784, 3.7784, 11.7517 Å; angles 90.00, 90.00, 90.00 degrees
Closest atoms and distances in Å follow each position.
Space group P4/mmm (No. 123)
One atom of each set of equivalent atoms:
Pr (0.0000, 0.0000, 0.1966) (multiplicity 2)  1 F 2.31, 1 S 2.58
S (0.0000, 0.0000, 0.4164) (multiplicity 2)  1 S 1.97
F (0.0000, 0.0000, 0.0000) (multiplicity 1)  2 Pr 2.31

Results
Formation energy without anion corrections: -0.88 eV per atom
Volume: 33.555 Å³ per atom
ΔE to the lowest computed polymorph: 155.4 kJ per mole of atoms

***

## Pr3S3F2 (PBE)

Data for a geometry-optimized Pr3S3F2 structure.

Cell lengths 3.7898, 4.0610, 21.5458 Å; angles 90.00, 90.00, 90.00 degrees
Closest atoms and distances in Å follow each position.
Space group Immm (No. 71)
One atom of each set of equivalent atoms:
Pr (0.0000, 0.0000, 0.0000) (multiplicity 2)  4 S 2.78
Pr (0.0000, 0.5000, 0.1733) (multiplicity 4)  4 F 2.52-2.61
S (0.0000, 0.0000, 0.5000) (multiplicity 2)  4 Pr 2.78
S (0.0000, 0.5000, 0.3733) (multiplicity 4)  4 Pr 2.95, 2 F 3.25
F (0.0000, 0.0000, 0.2494) (multiplicity 4)  4 Pr 2.52-2.61, 4 F 2.78

Results
Formation energy without anion corrections: -2.57 eV per atom
Volume: 20.725 Å³ per atom

***

## Pr3S3F (PBE)

Data for a geometry-optimized Pr3S3F structure.

Cell lengths 9.7572, 9.7572, 5.8413 Å; angles 90.00, 90.00, 120.00 degrees
Closest atoms and distances in Å follow each position.
Space group R3m (No. 160, hexagonal axes)
One atom of each set of equivalent atoms:
Pr (0.0390, 0.5195, 0.0000) (multiplicity 9)  1 F 2.50
S (0.0503, 0.5252, 0.5052) (multiplicity 9)  6 Pr 2.89-3.09
F (0.0000, 0.0000, 0.3770) (multiplicity 3)  3 Pr 2.50

Results
Formation energy without anion corrections: -2.06 eV per atom
Volume: 22.934 Å³ per atom